(1)
Here is a relaxed structure of SnRu2O from Alexandria. Energies are from PBE.

a b c (Å): 5.5595 5.5595 9.4593
angles (deg): 90.00 90.00 90.00
Last column: nearest neighbours and their distance in Å.
Positions (direct):
Sn: 0.0000 0.0000 0.0000  4 Ru 2.72
Sn: 0.0000 0.5000 0.2500  4 Ru 2.72
Sn: 0.5000 0.0000 0.7500  4 Ru 2.72
Sn: 0.5000 0.5000 0.5000  4 Ru 2.72
Ru: 0.1365 0.2500 0.6250  2 O 1.98
Ru: 0.2500 0.6365 0.8750  2 O 1.98
Ru: 0.2500 0.8635 0.3750  2 O 1.98
Ru: 0.3635 0.2500 0.1250  2 O 1.98
Ru: 0.6365 0.7500 0.1250  2 O 1.98
Ru: 0.7500 0.1365 0.3750  2 O 1.98
Ru: 0.7500 0.3635 0.8750  2 O 1.98
Ru: 0.8635 0.7500 0.6250  2 O 1.98
O: 0.0000 0.0000 0.5000  4 Ru 1.98
O: 0.0000 0.5000 0.7500  4 Ru 1.98
O: 0.5000 0.0000 0.2500  4 Ru 1.98
O: 0.5000 0.5000 0.0000  4 Ru 1.98

Properties
E_form (uncorrected)	20	kJ/mol of atoms

---

(2)
Here is a relaxed structure of SnRuO3 from Alexandria. Energies are from PBE.

a b c (Å): 4.0107 4.0107 4.0107
angles (deg): 90.00 90.00 90.00
Last column: nearest neighbours and their distance in Å.
Positions (direct):
Sn: 0.0000 0.0000 0.0000  6 O 2.01
Ru: 0.5000 0.5000 0.5000  12 O 2.84
O: 0.0000 0.0000 0.5000  2 Sn 2.01
O: 0.0000 0.5000 0.0000  2 Sn 2.01
O: 0.5000 0.0000 0.0000  2 Sn 2.01

Properties
E_form (uncorrected)	-28	kJ/mol of atoms

---

(3)
Here is a relaxed structure of Sn2RuO from Alexandria. Energies are from PBE.

a b c (Å): 6.3093 6.3093 7.2247
angles (deg): 90.00 90.00 90.00
Last column: nearest neighbours and their distance in Å.
Positions (direct):
Sn: 0.2026 0.2500 0.1250  2 O 2.22
Sn: 0.2500 0.7026 0.3750  2 O 2.22
Sn: 0.2500 0.7974 0.8750  2 O 2.22
Sn: 0.2974 0.2500 0.6250  2 O 2.22
Sn: 0.7026 0.7500 0.6250  2 O 2.22
Sn: 0.7500 0.2026 0.8750  2 O 2.22
Sn: 0.7500 0.2974 0.3750  2 O 2.22
Sn: 0.7974 0.7500 0.1250  2 O 2.22
Ru: 0.0000 0.0000 0.5000  4 Sn 2.61
Ru: 0.0000 0.5000 0.7500  4 Sn 2.61
Ru: 0.5000 0.0000 0.2500  4 Sn 2.61
Ru: 0.5000 0.5000 0.0000  4 Sn 2.61
O: 0.0000 0.0000 0.0000  4 Sn 2.22
O: 0.0000 0.5000 0.2500  4 Sn 2.22
O: 0.5000 0.0000 0.7500  4 Sn 2.22
O: 0.5000 0.5000 0.5000  4 Sn 2.22

Properties
E_form (uncorrected)	-26	kJ/mol of atoms

---

(4)
Here is a relaxed structure of SnRu3O from Alexandria. Energies are from PBE.

a b c (Å): 4.1623 4.1623 4.1623
angles (deg): 90.00 90.00 90.00
Last column: nearest neighbours and their distance in Å.
Positions (direct):
Sn: 0.0000 0.0000 0.0000  12 Ru 2.94
Ru: 0.0000 0.5000 0.5000  2 O 2.08
Ru: 0.5000 0.0000 0.5000  2 O 2.08
Ru: 0.5000 0.5000 0.0000  2 O 2.08
O: 0.5000 0.5000 0.5000  6 Ru 2.08

Properties
E_form (uncorrected)	18	kJ/mol of atoms

---

(5)
Here is a relaxed structure of SnRu3O from Alexandria. Energies are from PBE.

a b c (Å): 5.0084 5.0084 5.0084
angles (deg): 90.00 90.00 90.00
Last column: nearest neighbours and their distance in Å.
Positions (direct):
Sn: 0.0000 0.0000 0.0000  6 Ru 2.50
Ru: 0.0000 0.0000 0.5000  2 Sn 2.50
Ru: 0.0000 0.5000 0.0000  2 Sn 2.50
Ru: 0.5000 0.0000 0.0000  2 Sn 2.50
O: 0.5000 0.5000 0.5000  12 Ru 3.54

Properties
E_form (uncorrected)	229	kJ/mol of atoms

---

(6)
Here is a relaxed structure of SnRu2O from Alexandria. Energies are from PBE.

a b c (Å): 6.1738 6.1738 6.1738
angles (deg): 90.00 90.00 90.00
Last column: nearest neighbours and their distance in Å.
Positions (direct):
Sn: 0.0000 0.0000 0.0000  8 Ru 2.67
Sn: 0.0000 0.5000 0.5000  8 Ru 2.67
Sn: 0.5000 0.0000 0.5000  8 Ru 2.67
Sn: 0.5000 0.5000 0.0000  8 Ru 2.67
Ru: 0.2500 0.2500 0.2500  4 O 2.67, 4 Sn 2.67
Ru: 0.2500 0.2500 0.7500  4 O 2.67, 4 Sn 2.67
Ru: 0.2500 0.7500 0.2500  4 O 2.67, 4 Sn 2.67
Ru: 0.2500 0.7500 0.7500  4 O 2.67, 4 Sn 2.67
Ru: 0.7500 0.2500 0.2500  4 O 2.67, 4 Sn 2.67
Ru: 0.7500 0.2500 0.7500  4 O 2.67, 4 Sn 2.67
Ru: 0.7500 0.7500 0.2500  4 O 2.67, 4 Sn 2.67
Ru: 0.7500 0.7500 0.7500  4 O 2.67, 4 Sn 2.67
O: 0.0000 0.0000 0.5000  8 Ru 2.67
O: 0.0000 0.5000 0.0000  8 Ru 2.67
O: 0.5000 0.0000 0.0000  8 Ru 2.67
O: 0.5000 0.5000 0.5000  8 Ru 2.67

Properties
E_form (uncorrected)	54	kJ/mol of atoms

---

(7)
Here is a relaxed structure of TaSnRu2O from Alexandria. Energies are from PBE.

a b c (Å): 4.9244 4.9244 3.8295
angles (deg): 90.00 90.00 90.00
Last column: nearest neighbours and their distance in Å.
Positions (direct):
Ta: 0.0000 0.0000 0.0000  2 O 1.91
Sn: 0.5000 0.5000 0.5000  8 Ru 3.12, 4 O 3.48
Ru: 0.0000 0.5000 0.0000  2 Ta 2.46
Ru: 0.5000 0.0000 0.0000  2 Ta 2.46
O: 0.0000 0.0000 0.5000  2 Ta 1.91

Properties
E_form (uncorrected)	13	kJ/mol of atoms

---

(8)
Here is a relaxed structure of TcSnRu2O from Alexandria. Energies are from PBE.

a b c (Å): 4.0380 4.0380 4.7357
angles (deg): 90.00 90.00 90.00
Last column: nearest neighbours and their distance in Å.
Positions (direct):
Tc: 0.0000 0.0000 0.0000  4 Sn 2.86, 8 Ru 3.11
Sn: 0.5000 0.5000 0.0000  2 O 2.37
Ru: 0.0000 0.5000 0.5000  2 O 2.02
Ru: 0.5000 0.0000 0.5000  2 O 2.02
O: 0.5000 0.5000 0.5000  4 Ru 2.02

Properties
E_form (uncorrected)	37	kJ/mol of atoms

---

(9)
Here is a relaxed structure of ZnSn2RuO from Alexandria. Energies are from PBE.

a b c (Å): 5.3397 5.3397 3.4488
angles (deg): 90.00 90.00 90.00
Last column: nearest neighbours and their distance in Å.
Positions (direct):
Zn: 0.0000 0.0000 0.0000  2 O 1.72
Sn: 0.0000 0.5000 0.0000  2 Zn 2.67
Sn: 0.5000 0.0000 0.0000  2 Zn 2.67
Ru: 0.5000 0.5000 0.5000  8 Sn 3.18, 2 Ru 3.45
O: 0.0000 0.0000 0.5000  2 Zn 1.72

Properties
E_form (uncorrected)	44	kJ/mol of atoms

---

(10)
Here is a relaxed structure of ZnSnRu2O from Alexandria. Energies are from PBE.

a b c (Å): 4.9855 4.9855 4.9613
angles (deg): 90.00 90.00 90.00
Last column: nearest neighbours and their distance in Å.
Positions (direct):
Zn: 0.0000 0.0000 0.0000  2 Sn 2.48
Sn: 0.0000 0.0000 0.5000  2 Zn 2.48, 4 Ru 2.49
Ru: 0.0000 0.5000 0.5000  2 Sn 2.49
Ru: 0.5000 0.0000 0.5000  2 Sn 2.49
O: 0.5000 0.5000 0.0000  8 Ru 3.52, 4 Zn 3.53

Properties
E_form (uncorrected)	183	kJ/mol of atoms

---

(11)
Here is a relaxed structure of Sr4Ru3O10 from Alexandria. Energies are from PBE.

a b c (Å): 14.6047 14.6047 14.6047
angles (deg): 164.35 164.35 22.20
Last column: nearest neighbours and their distance in Å.
Positions (direct):
Sr: 0.0692 0.0692 0.0000  12 O 2.81-2.83
Sr: 0.2029 0.2029 0.0000  5 O 2.45-2.69
Sr: 0.7971 0.7971 0.0000  5 O 2.45-2.69
Sr: 0.9308 0.9308 0.0000  12 O 2.81-2.83
Ru: 0.3588 0.3588 0.0000  6 O 1.99-2.06
Ru: 0.5000 0.5000 0.0000  6 O 1.99
Ru: 0.6412 0.6412 0.0000  6 O 1.99-2.06
O: 0.0000 0.5000 0.5000  2 Ru 1.99
O: 0.1394 0.6394 0.5000  2 Ru 1.99
O: 0.2882 0.2882 0.0000  1 Ru 2.03
O: 0.3606 0.8606 0.5000  2 Ru 1.99
O: 0.4307 0.4307 0.0000  2 Ru 1.99-2.06
O: 0.5000 0.0000 0.5000  2 Ru 1.99
O: 0.5693 0.5693 0.0000  2 Ru 1.99-2.06
O: 0.6394 0.1394 0.5000  2 Ru 1.99
O: 0.7118 0.7118 0.0000  1 Ru 2.03
O: 0.8606 0.3606 0.5000  2 Ru 1.99

Properties
E_form (uncorrected)	-181	kJ/mol of atoms

---

(12)
Here is a relaxed structure of SrRu2O7 from Alexandria. Energies are from PBE.

a b c (Å): 5.9453 5.9453 3.7789
angles (deg): 90.00 90.00 116.22
Last column: nearest neighbours and their distance in Å.
Positions (direct):
Sr: 0.0000 0.0000 0.0000  8 O 2.64
Ru: 0.3090 0.6910 0.5000  7 O 1.89-2.05
Ru: 0.6910 0.3090 0.5000  7 O 1.89-2.05
O: 0.0382 0.3262 0.5000  2 Ru 2.02-2.05
O: 0.3042 0.6958 0.0000  2 Ru 1.89
O: 0.3262 0.0382 0.5000  2 Ru 2.02-2.05
O: 0.5000 0.5000 0.5000  2 Ru 1.93
O: 0.6738 0.9618 0.5000  2 Ru 2.02-2.05
O: 0.6958 0.3042 0.0000  2 Ru 1.89
O: 0.9618 0.6738 0.5000  2 Ru 2.02-2.05

Properties
E_form (uncorrected)	-111	kJ/mol of atoms

---

What did the second record say?
Here is a relaxed structure of SnRuO3 from Alexandria. Energies are from PBE.

a b c (Å): 4.0107 4.0107 4.0107
angles (deg): 90.00 90.00 90.00
Last column: nearest neighbours and their distance in Å.
Positions (direct):
Sn: 0.0000 0.0000 0.0000  6 O 2.01
Ru: 0.5000 0.5000 0.5000  12 O 2.84
O: 0.0000 0.0000 0.5000  2 Sn 2.01
O: 0.0000 0.5000 0.0000  2 Sn 2.01
O: 0.5000 0.0000 0.0000  2 Sn 2.01

Properties
E_form (uncorrected)	-28	kJ/mol of atoms

---

> Which of these has the highest E_form (uncorrected)?

number 5

---

> What is the formula in the tenth record?

ZnSnRu2O

---

> Among the records above, which one has the lowest E_form (uncorrected)?

Sr4Ru3O10